(1)
Entry from Alexandria: crystalline TmCo8B4 at its relaxed geometry (PBE).

The space group is I4/mmm (No. 139) and the conventional cell measures 7.561, 7.561 and 4.369 Å, with angles of 90.00, 90.00 and 90.00 degrees. The distinct sites, in fractional coordinates, are Tm at (0.000, 0.000, 0.000), Co at (0.000, 0.227, 0.500), Co at (0.000, 0.345, 0.000) and B at (0.250, 0.250, 0.250).

The value obtained for the calculated formation energy is -114 meV/atom. For the density of states at the Fermi level, the calculation gives 1.04 states/eV per atom.

---

(2)
Entry from Alexandria: crystalline KYMg6 at its relaxed geometry (PBE).

The space group is Amm2 (No. 38) and the conventional cell measures 5.325, 6.916 and 11.970 Å, with angles of 90.00, 90.00 and 90.00 degrees. The distinct sites, in fractional coordinates, are K at (0.000, 0.000, 0.000), Y at (0.500, 0.000, 0.667), Mg at (0.000, 0.000, 0.500), Mg at (0.000, 0.249, 0.251), Mg at (0.500, 0.000, 0.181) and Mg at (0.500, 0.229, 0.410).

The value obtained for the calculated formation energy is 82 meV/atom. The energy relative to the lowest polymorph listed for this composition comes out at 0.000 eV/atom. For the density of states at the Fermi level, the calculation gives 0.57 states/eV per atom.

---

(3)
Entry from Alexandria: crystalline GePbAu3 at its relaxed geometry (PBE).

The space group is Pm-3m (No. 221) and the conventional cell measures 5.304, 5.304 and 5.304 Å, with angles of 90.00, 90.00 and 90.00 degrees. The distinct sites, in fractional coordinates, are Ge at (0.000, 0.000, 0.000), Pb at (0.500, 0.500, 0.500) and Au at (0.000, 0.500, 0.500).

The value obtained for the calculated formation energy is 842 meV/atom. The energy relative to the lowest polymorph listed for this composition comes out at 0.846 eV/atom. For the density of states at the Fermi level, the calculation gives 0.92 states/eV per atom.

---

(4)
Entry from Alexandria: crystalline CaHg2Rh at its relaxed geometry (PBE).

The space group is P4mm (No. 99) and the conventional cell measures 3.496, 3.496 and 7.182 Å, with angles of 90.00, 90.00 and 90.00 degrees. The distinct sites, in fractional coordinates, are Ca at (0.000, 0.000, 0.000), Hg at (0.000, 0.000, 0.565), Hg at (0.500, 0.500, 0.298) and Rh at (0.500, 0.500, 0.758).

The value obtained for the calculated formation energy is -187 meV/atom. For the density of states at the Fermi level, the calculation gives 0.31 states/eV per atom.